(1)
A plane-wave DFT calculation with PBE was carried out for a relaxed structure of Tb7PmDy12.

a = 9.747 Å, b = 9.747 Å, c = 9.747 Å
α = 109.47°, β = 109.47°, γ = 109.47°
Fractional coordinates of all 20 atoms:
Tb 0.500 0.500 0.000
Tb 0.000 0.500 0.500
Tb 0.500 0.000 0.500
Tb 0.500 0.500 0.500
Tb 0.000 0.000 0.500
Tb 0.500 0.000 0.000
Tb 0.000 0.500 0.000
Pm 0.000 0.000 0.000
Dy 0.495 0.748 0.747
Dy 0.001 0.748 0.253
Dy 0.505 0.252 0.253
Dy 0.999 0.252 0.747
Dy 0.747 0.999 0.252
Dy 0.747 0.495 0.748
Dy 0.253 0.001 0.748
Dy 0.253 0.505 0.252
Dy 0.748 0.747 0.495
Dy 0.252 0.253 0.505
Dy 0.748 0.253 0.001
Dy 0.252 0.747 0.999

- V: 712.8 Å³/cell
- Space-group type: Im-3 (204)
- Electronic total energy: -3.929 eV/atom
- E_form: 690 meV/atom
- Energy relative to the lowest polymorph listed for this composition: 397 meV per atom


(2)
A plane-wave DFT calculation with PBE was carried out for a relaxed structure of TbPm2Dy3.

a = 5.603 Å, b = 8.998 Å, c = 9.993 Å
α = 123.03°, β = 90.00°, γ = 108.14°
Fractional coordinates of all 12 atoms:
Tb 0.868 0.736 0.867
Tb 0.132 0.264 0.133
Pm 0.509 0.017 0.858
Pm 0.491 0.983 0.142
Pm 0.769 0.538 0.125
Pm 0.231 0.462 0.875
Dy 0.291 0.582 0.574
Dy 0.953 0.907 0.610
Dy 0.614 0.227 0.658
Dy 0.386 0.773 0.342
Dy 0.047 0.093 0.390
Dy 0.709 0.418 0.426

- V: 392.2 Å³/cell
- Space-group type: C2/m (12)
- Electronic total energy: -4.557 eV/atom
- E_form: 99 meV/atom
- Energy relative to the lowest polymorph listed for this composition: 0 meV per atom